The following is a DFT calculation (PBE-GGA) of a geometry-optimized K2Cd6Au3 structure.

```
K2Cd6Au3
1.0
8.590 0.000 0.000
-4.295 7.439 0.000
0.000 0.000 4.646
K Cd Au
2 6 3
direct
0.333 0.667 0.000
0.667 0.333 0.000
0.000 0.288 0.500
0.000 0.801 0.000
0.199 0.199 0.000
0.288 0.000 0.500
0.712 0.712 0.500
0.801 0.000 0.000
0.000 0.616 0.500
0.384 0.384 0.500
0.616 0.000 0.500
```

Computed properties:
The formation energy is -0.1856 eV/atom. The calculation puts the final energy at -0.0653 hartree per atom. Its density is 7.51 g cm⁻³. The value obtained for the density of states at the Fermi level is 4.671 states/eV/f.u.